This record from Alexandria describes an optimized crystal structure of AcSm6Cd2. The functional is GGA-PBE.

Unit cell a=5.790 b=10.428 c=10.428 alpha=68.02 beta=84.03 gamma=84.03
Atoms (fractional coordinates):
Sm 0.078 0.525 0.332
Sm 0.922 0.475 0.668
Sm 0.346 0.876 0.651
Sm 0.707 0.219 0.005
Sm 0.578 0.332 0.525
Sm 0.793 0.995 0.781
Sm 0.207 0.005 0.219
Sm 0.654 0.124 0.349
Sm 0.293 0.781 0.995
Sm 0.422 0.668 0.475
Sm 0.846 0.651 0.876
Sm 0.154 0.349 0.124
Cd 0.391 0.522 0.810
Cd 0.609 0.478 0.190
Cd 0.891 0.810 0.522
Cd 0.109 0.190 0.478
Ac 0.750 0.825 0.175
Ac 0.250 0.175 0.825

## Properties
magnetization = 0.00 μB per atom
E above lowest polymorph = 0.095 eV per atom
DOS(E_F) = 1.3137 states/eV per atom
total energy = -3.832 eV/atom